# Li7Mn2Co3O12

Li7Mn2Co3O12 after structural relaxation (PBE with a Hubbard U, the Alexandria database).

Cell lengths 5.097, 5.834, 7.657 Å; angles 99.38, 109.37, 90.92 degrees
Positions (direct):
Li (0.000, 0.000, 0.000)
Li (0.150, 0.427, 0.667)
Li (0.159, 0.917, 0.677)
Li (0.488, 0.238, 0.998)
Li (0.512, 0.762, 0.002)
Li (0.841, 0.083, 0.323)
Li (0.850, 0.573, 0.333)
Mn (0.341, 0.830, 0.328)
Mn (0.659, 0.170, 0.672)
Co (0.000, 0.500, 0.000)
Co (0.344, 0.327, 0.327)
Co (0.656, 0.673, 0.673)
O (0.030, 0.693, 0.827)
O (0.038, 0.226, 0.829)
O (0.271, 0.112, 0.482)
O (0.279, 0.640, 0.502)
O (0.428, 0.023, 0.175)
O (0.432, 0.554, 0.189)
O (0.568, 0.446, 0.811)
O (0.572, 0.977, 0.825)
O (0.721, 0.360, 0.498)
O (0.729, 0.888, 0.518)
O (0.962, 0.774, 0.171)
O (0.970, 0.307, 0.173)

## Properties
The value obtained for the energy above the most stable polymorph in this dataset is 0.570 eV/f.u. The total moment is 12.00 μB per cell. Its symmetry is No. 2.